Density functional theory data (PBE-GGA) for a relaxed MgScSbPd crystal. Values from VASP.

```
&SYSTEM
  ibrav = 0, nat = 4, ntyp = 4
/
ATOMIC_SPECIES
Sc 44.96 Sc.upf
Mg 24.30 Mg.upf
Pd 106.42 Pd.upf
Sb 121.76 Sb.upf
CELL_PARAMETERS angstrom
-1.659 4.315 -1.417
-4.109 0.298 -2.530
-3.969 1.854 2.045
ATOMIC_POSITIONS crystal
Sc 0.000 0.000 0.000
Mg 0.500 0.500 0.500
Pd 0.750 0.750 0.750
Sb 0.250 0.250 0.250
```

Computed properties:
SG = F-43m, No. 216


Density functional theory data (PBE-GGA) for a relaxed Sr2MgSbPd crystal. Values from VASP.

```
&SYSTEM
  ibrav = 0, nat = 5, ntyp = 4
/
ATOMIC_SPECIES
Mg 24.30 Mg.upf
Sr 87.62 Sr.upf
Pd 106.42 Pd.upf
Sb 121.76 Sb.upf
CELL_PARAMETERS angstrom
6.131 0.000 0.000
0.000 4.614 0.000
0.000 0.000 6.131
ATOMIC_POSITIONS crystal
Mg 0.000 0.000 0.000
Sr 0.000 0.000 0.500
Pd 0.000 0.500 0.000
Sr 0.500 0.000 0.000
Sb 0.500 0.500 0.500
```

Computed properties:
SG = P4/mmm, No. 123


Density functional theory data (PBE-GGA) for a relaxed Sr2MgSb4Pd3 crystal. Values from VASP.

```
&SYSTEM
  ibrav = 0, nat = 10, ntyp = 4
/
ATOMIC_SPECIES
Sr 87.62 Sr.upf
Pd 106.42 Pd.upf
Sb 121.76 Sb.upf
Mg 24.30 Mg.upf
CELL_PARAMETERS angstrom
4.608 0.000 0.000
0.000 4.608 0.000
0.000 0.000 11.625
ATOMIC_POSITIONS crystal
Sr 0.000 0.500 0.753
Pd 0.500 0.000 0.872
Pd 0.000 0.500 0.128
Sb 0.500 0.500 0.000
Pd 0.000 0.000 0.500
Mg 0.500 0.500 0.500
Sb 0.000 0.500 0.358
Sb 0.000 0.000 0.000
Sb 0.500 0.000 0.642
Sr 0.500 0.000 0.247
```

Computed properties:
SG = P-4m2, No. 115


Density functional theory data (PBE-GGA) for a relaxed MgSbTe2Pd crystal. Values from VASP.

```
&SYSTEM
  ibrav = 0, nat = 5, ntyp = 4
/
ATOMIC_SPECIES
Te 127.60 Te.upf
Sb 121.76 Sb.upf
Mg 24.30 Mg.upf
Pd 106.42 Pd.upf
CELL_PARAMETERS angstrom
-4.275 -2.534 2.259
2.216 -4.835 -1.230
2.385 -0.043 4.466
ATOMIC_POSITIONS crystal
Te 0.000 0.500 0.000
Sb 0.000 0.000 0.500
Te 0.500 0.000 0.000
Mg 0.500 0.500 0.500
Pd 0.000 0.000 0.000
```

Computed properties:
SG = P4/mmm, No. 123
relative energy among the computed polymorphs = 0.000 eV/atom


Density functional theory data (PBE-GGA) for a relaxed TmMgSbPd crystal. Values from VASP.

```
&SYSTEM
  ibrav = 0, nat = 4, ntyp = 4
/
ATOMIC_SPECIES
Mg 24.30 Mg.upf
Pd 106.42 Pd.upf
Sb 121.76 Sb.upf
Tm 168.93 Tm.upf
CELL_PARAMETERS angstrom
4.962 0.000 0.000
2.481 4.297 0.000
2.481 1.432 4.051
ATOMIC_POSITIONS crystal
Mg 0.750 0.750 0.750
Pd 0.000 0.000 0.000
Sb 0.500 0.500 0.500
Tm 0.250 0.250 0.250
```

Computed properties:
SG = F-43m, No. 216


Density functional theory data (PBE-GGA) for a relaxed Mg2ZrSbPd crystal. Values from VASP.

```
&SYSTEM
  ibrav = 0, nat = 5, ntyp = 4
/
ATOMIC_SPECIES
Sb 121.76 Sb.upf
Mg 24.30 Mg.upf
Zr 91.22 Zr.upf
Pd 106.42 Pd.upf
CELL_PARAMETERS angstrom
4.809 0.000 0.000
0.000 5.175 0.000
0.000 0.000 4.809
ATOMIC_POSITIONS crystal
Sb 0.000 0.500 0.000
Mg 0.500 0.000 0.000
Mg 0.000 0.000 0.500
Zr 0.500 0.500 0.500
Pd 0.000 0.000 0.000
```

Computed properties:
SG = P4/mmm, No. 123


Density functional theory data (PBE-GGA) for a relaxed MgScPd6 crystal. Values from VASP.

```
&SYSTEM
  ibrav = 0, nat = 8, ntyp = 3
/
ATOMIC_SPECIES
Pd 106.42 Pd.upf
Mg 24.30 Mg.upf
Sc 44.96 Sc.upf
CELL_PARAMETERS angstrom
-0.670 3.644 1.476
-2.534 -1.545 2.665
6.019 -0.982 5.154
ATOMIC_POSITIONS crystal
Pd 0.500 0.500 0.500
Pd 0.500 0.500 0.000
Pd 0.000 0.500 0.749
Mg 0.000 0.000 0.500
Pd 0.000 0.500 0.251
Sc 0.000 0.000 0.000
Pd 0.500 0.000 0.749
Pd 0.500 0.000 0.251
```

Computed properties:
SG = P4/mmm, No. 123
formation enthalpy at 0 K = -657.9 meV/atom


Density functional theory data (PBE-GGA) for a relaxed Mg4ScPd15 crystal. Values from VASP.

```
&SYSTEM
  ibrav = 0, nat = 20, ntyp = 3
/
ATOMIC_SPECIES
Pd 106.42 Pd.upf
Sc 44.96 Sc.upf
Mg 24.30 Mg.upf
CELL_PARAMETERS angstrom
-0.031 -3.935 -0.562
3.328 0.282 -2.155
10.889 -2.444 16.500
ATOMIC_POSITIONS crystal
Pd 0.000 0.500 0.500
Sc 0.000 0.000 0.000
Pd 0.500 0.000 0.899
Mg 0.000 0.000 0.600
Pd 0.500 0.000 0.101
Pd 0.500 0.500 0.799
Mg 0.000 0.000 0.798
Mg 0.000 0.000 0.400
Pd 0.000 0.500 0.301
Mg 0.000 0.000 0.202
Pd 0.500 0.000 0.301
Pd 0.000 0.500 0.101
Pd 0.000 0.500 0.699
Pd 0.500 0.000 0.699
Pd 0.000 0.500 0.899
Pd 0.500 0.000 0.500
Pd 0.500 0.500 0.201
Pd 0.500 0.500 0.000
Pd 0.500 0.500 0.599
Pd 0.500 0.500 0.401
```

Computed properties:
SG = P4/mmm, No. 123
formation enthalpy at 0 K = -545.9 meV/atom


Density functional theory data (PBE-GGA) for a relaxed MgSc2Pd4 crystal. Values from VASP.

```
&SYSTEM
  ibrav = 0, nat = 7, ntyp = 3
/
ATOMIC_SPECIES
Sc 44.96 Sc.upf
Mg 24.30 Mg.upf
Pd 106.42 Pd.upf
CELL_PARAMETERS angstrom
-2.104 -1.688 -3.573
0.381 -4.412 -0.659
-6.187 -2.133 3.284
ATOMIC_POSITIONS crystal
Sc 0.279 0.279 0.278
Mg 0.000 0.000 0.000
Pd 0.641 0.641 0.120
Pd 0.903 0.903 0.365
Pd 0.359 0.359 0.880
Pd 0.097 0.097 0.635
Sc 0.721 0.721 0.722
```

Computed properties:
SG = C2/m, No. 12
formation enthalpy at 0 K = -689.3 meV/atom


Density functional theory data (PBE-GGA) for a relaxed Mg2ScPd5 crystal. Values from VASP.

```
&SYSTEM
  ibrav = 0, nat = 8, ntyp = 3
/
ATOMIC_SPECIES
Mg 24.30 Mg.upf
Pd 106.42 Pd.upf
Sc 44.96 Sc.upf
CELL_PARAMETERS angstrom
4.011 0.000 -1.103
-0.303 4.000 -1.103
0.041 0.045 7.997
ATOMIC_POSITIONS crystal
Mg 0.251 0.251 0.503
Pd 0.631 0.131 0.261
Pd 0.131 0.631 0.261
Pd 0.869 0.369 0.739
Pd 0.369 0.869 0.739
Pd 0.500 0.500 0.000
Mg 0.749 0.749 0.497
Sc 0.000 0.000 0.000
```

Computed properties:
SG = I4/mmm, No. 139
formation enthalpy at 0 K = -759.2 meV/atom


Density functional theory data (PBE-GGA) for a relaxed Mg3Sc4Pd crystal. Values from VASP.

```
&SYSTEM
  ibrav = 0, nat = 8, ntyp = 3
/
ATOMIC_SPECIES
Mg 24.30 Mg.upf
Sc 44.96 Sc.upf
Pd 106.42 Pd.upf
CELL_PARAMETERS angstrom
-0.445 -2.973 -1.708
3.237 0.204 -1.197
4.764 -7.390 11.622
ATOMIC_POSITIONS crystal
Mg 0.500 0.500 0.239
Sc 0.000 0.000 0.368
Pd 0.500 0.500 0.000
Mg 0.500 0.500 0.761
Sc 0.000 0.000 0.894
Mg 0.500 0.500 0.500
Sc 0.000 0.000 0.106
Sc 0.000 0.000 0.632
```

Computed properties:
SG = P4/mmm, No. 123
formation enthalpy at 0 K = -249.6 meV/atom


Density functional theory data (PBE-GGA) for a relaxed MgSc2Pd6 crystal. Values from VASP.

```
&SYSTEM
  ibrav = 0, nat = 9, ntyp = 3
/
ATOMIC_SPECIES
Pd 106.42 Pd.upf
Sc 44.96 Sc.upf
Mg 24.30 Mg.upf
CELL_PARAMETERS angstrom
3.002 0.000 -0.102
0.000 7.470 0.000
-1.189 -3.735 7.014
ATOMIC_POSITIONS crystal
Pd 0.834 0.031 0.667
Pd 0.500 0.697 0.000
Pd 0.166 0.364 0.333
Sc 0.337 0.336 0.671
Sc 0.663 0.664 0.329
Mg 0.000 0.000 0.000
Pd 0.834 0.636 0.667
Pd 0.166 0.969 0.333
Pd 0.500 0.303 0.000
```

Computed properties:
SG = C2/m, No. 12
formation enthalpy at 0 K = -577.4 meV/atom


Computed mass density (g cm⁻³) in order:
6.2, 4.1, 6.8, 5.6, 8.1, 5.1, 9.3, 9.2, 6.9, 8.1, 3.4, 8.0
Computed VASP energy (eV per atom) in order:
-4.91, -2.93, -4.46, -3.26, -4.47, -4.09, -5.54, -5.08, -5.69, -5.19, -4.66, -5.62